# Na2NbO4

Crystalline Na2NbO4 at its relaxed geometry (PBE, Alexandria via LeMat-Bulk).

Computed properties:
E: -6.565 eV/atom
SG: I4/mmm (139)
Uncorrected formation energy: -1.9162 eV/atom

abc: 4.035 4.035 6.756
angles: 107.37 107.37 90.00
Site moments in Bohr magnetons follow the coordinates.
Sites, in units of the cell vectors:
Na1 0.654 0.654 0.307  0.00
Na2 0.346 0.346 0.693  0.00
O1 0.500 0.000 0.000  0.17
O2 0.000 0.500 0.000  0.17
O3 0.160 0.160 0.320  0.30
O4 0.840 0.840 0.680  0.30
Nb1 0.000 0.000 0.000  -0.10